VASP calculation (PBE) on a relaxed ZrZnCu2Ag crystal. Values from VASP.

Properties
- VASP energy (eV per atom) = -2.89
- DOS at the Fermi energy (states/eV/f.u.) = 3.8
- symmetry = No. 123
- magnetic moment (μB per formula unit) = 0.25

Structure (Quantum ESPRESSO input):
```
&SYSTEM
  ibrav = 0, nat = 5, ntyp = 4
/
ATOMIC_SPECIES
Zn 65.41 Zn.upf
Cu 63.55 Cu.upf
Zr 91.22 Zr.upf
Ag 107.87 Ag.upf
CELL_PARAMETERS angstrom
-3.711 -0.192 3.309
-3.329 -1.684 -3.831
1.180 -4.719 1.049
ATOMIC_POSITIONS angstrom
Zn -2.930 -3.298 0.263
Cu 0.590 -2.359 0.524
Cu -1.855 -0.096 1.655
Zr 0.000 0.000 0.000
Ag -1.665 -0.842 -1.916
```

---

VASP calculation (PBE) on a relaxed Pr2Dy7Tm3 crystal. Values from VASP.

Properties
- E above lowest polymorph (meV/atom) = 0
- DOS at the Fermi energy (states/eV/f.u.) = 17.3
- symmetry = No. 10
- magnetic moment (μB per formula unit) = 0.00

Structure (Quantum ESPRESSO input):
```
&SYSTEM
  ibrav = 0, nat = 12, ntyp = 3
/
ATOMIC_SPECIES
Pr 140.91 Pr.upf
Dy 162.50 Dy.upf
Tm 168.93 Tm.upf
CELL_PARAMETERS angstrom
-2.774 0.097 -2.151
2.792 -4.229 -3.792
-5.407 -15.853 6.259
ATOMIC_POSITIONS angstrom
Pr -1.443 -7.730 -1.354
Pr -3.946 -12.255 1.670
Dy -3.424 -8.922 1.148
Dy -1.964 -11.064 -0.832
Dy 0.694 -4.948 -1.119
Dy 0.000 0.000 0.000
Dy -3.309 -15.134 3.586
Dy -3.274 -17.120 0.585
Dy -2.114 -2.865 -0.269
Tm 0.009 -2.066 -2.971
Tm -1.548 -5.897 1.731
Tm -1.066 -14.185 0.736
```

---

Question: Which formula does entry 1 have?
Answer: ZrZnCu2Ag

---

Question: What is the DOS at the Fermi energy in the first record?
Answer: 3.8 states/eV/f.u.